# PBE HoURh4, relaxed
data_HoURh4
_cell_length_a 7.514
_cell_length_b 7.514
_cell_length_c 7.514
_cell_angle_alpha 90.00
_cell_angle_beta 90.00
_cell_angle_gamma 90.00
_symmetry_space_group_name_H-M 'F -4 3 m'
_symmetry_Int_Tables_number 216
_symmetry_space_group_name_Hall 'F -4 2 3'
loop_
_atom_site_label
_atom_site_type_symbol
_atom_site_fract_x
_atom_site_fract_y
_atom_site_fract_z
_atom_site_occupancy
Ho1 Ho 0.000 0.000 0.000 1
U1 U 0.250 0.250 0.250 1
Rh1 Rh 0.125 0.125 0.625 1
# - formation enthalpy at 0 K (eV per formula unit) = -3.36

# PBE InTcAgPt2, relaxed
data_InTcAgPt2
_cell_length_a 4.962
_cell_length_b 4.962
_cell_length_c 5.036
_cell_angle_alpha 90.00
_cell_angle_beta 90.00
_cell_angle_gamma 90.00
_symmetry_space_group_name_H-M 'P 4/m m m'
_symmetry_Int_Tables_number 123
_symmetry_space_group_name_Hall '-P 4 2'
loop_
_atom_site_label
_atom_site_type_symbol
_atom_site_fract_x
_atom_site_fract_y
_atom_site_fract_z
_atom_site_occupancy
In1 In 0.000 0.000 0.000 1
Tc1 Tc 0.000 0.000 0.500 1
Ag1 Ag 0.500 0.500 0.500 1
Pt1 Pt 0.000 0.500 0.000 1
# - formation enthalpy at 0 K (eV per formula unit) = 7.31

# PBE LaMgOs2, relaxed
data_LaMgOs2
_cell_length_a 3.278
_cell_length_b 4.582
_cell_length_c 5.021
_cell_angle_alpha 90.00
_cell_angle_beta 90.00
_cell_angle_gamma 90.00
_symmetry_space_group_name_H-M 'P m m m'
_symmetry_Int_Tables_number 47
_symmetry_space_group_name_Hall '-P 2 2'
loop_
_atom_site_label
_atom_site_type_symbol
_atom_site_fract_x
_atom_site_fract_y
_atom_site_fract_z
_atom_site_occupancy
La1 La 0.000 0.000 0.000 1
Mg1 Mg 0.500 0.000 0.500 1
Os1 Os 0.000 0.500 0.500 1
Os2 Os 0.500 0.500 0.000 1
# - formation enthalpy at 0 K (eV per formula unit) = 2.27

# PBE Pr3Sn4Pt2, relaxed
data_Pr3Sn4Pt2
_cell_length_a 11.207
_cell_length_b 4.834
_cell_length_c 9.086
_cell_angle_alpha 90.00
_cell_angle_beta 108.99
_cell_angle_gamma 90.00
_symmetry_space_group_name_H-M 'C 1 2/m 1'
_symmetry_Int_Tables_number 12
_symmetry_space_group_name_Hall '-C 2y'
loop_
_atom_site_label
_atom_site_type_symbol
_atom_site_fract_x
_atom_site_fract_y
_atom_site_fract_z
_atom_site_occupancy
Pr1 Pr 0.000 0.000 0.000 1
Pr2 Pr 0.134 0.500 0.685 1
Sn1 Sn 0.101 0.000 0.416 1
Sn2 Sn 0.211 0.500 0.068 1
Pt1 Pt 0.157 0.500 0.331 1
# - formation enthalpy at 0 K (eV per formula unit) = -7.66

# PBE Pr3ErHg5, relaxed
data_Pr3ErHg5
_cell_length_a 9.3246
_cell_length_b 9.3246
_cell_length_c 6.6944
_cell_angle_alpha 90.00
_cell_angle_beta 90.00
_cell_angle_gamma 120.00
_symmetry_space_group_name_H-M 'P 63/m c m'
_symmetry_Int_Tables_number 193
_symmetry_space_group_name_Hall '-P 6c 2'
loop_
_atom_site_label
_atom_site_type_symbol
_atom_site_fract_x
_atom_site_fract_y
_atom_site_fract_z
_atom_site_occupancy
Pr1 Pr 0.0000 0.3724 0.2500 1
Er1 Er 0.0000 0.0000 0.0000 1
Hg1 Hg 0.0000 0.2911 0.7500 1
Hg2 Hg 0.3333 0.6667 0.0000 1
# - formation enthalpy at 0 K (eV per formula unit) = -3.90

# PBE CdNi2Ag2, relaxed
data_CdNi2Ag2
_cell_length_a 3.814
_cell_length_b 3.814
_cell_length_c 11.789
_cell_angle_alpha 90.00
_cell_angle_beta 90.00
_cell_angle_gamma 90.00
_symmetry_space_group_name_H-M 'I 4/m m m'
_symmetry_Int_Tables_number 139
_symmetry_space_group_name_Hall '-I 4 2'
loop_
_atom_site_label
_atom_site_type_symbol
_atom_site_fract_x
_atom_site_fract_y
_atom_site_fract_z
_atom_site_occupancy
Cd1 Cd 0.000 0.000 0.000 1
Ni1 Ni 0.000 0.000 0.404 1
Ag1 Ag 0.000 0.500 0.250 1
# - energy above the lowest structure with this stoichiometry (kJ/mol of formula units) = 70.4
# - formation enthalpy at 0 K (eV per formula unit) = 1.90

# PBE Pa5Ni3Te12, relaxed
data_Pa5Ni3Te12
_cell_length_a 17.398
_cell_length_b 17.398
_cell_length_c 17.398
_cell_angle_alpha 90.00
_cell_angle_beta 90.00
_cell_angle_gamma 90.00
_symmetry_space_group_name_H-M 'I a -3 d'
_symmetry_Int_Tables_number 230
_symmetry_space_group_name_Hall '-I 4bd 2c 3'
loop_
_atom_site_label
_atom_site_type_symbol
_atom_site_fract_x
_atom_site_fract_y
_atom_site_fract_z
_atom_site_occupancy
Pa1 Pa 0.000 0.000 0.000 1
Pa2 Pa 0.000 0.250 0.375 1
Ni1 Ni 0.000 0.250 0.125 1
Te1 Te 0.027 0.092 0.645 1
# - formation energy without anion corrections (eV/f.u.) = 0.1

# PBE Tb6RuPt2, relaxed
data_Tb6RuPt2
_cell_length_a 6.608
_cell_length_b 7.335
_cell_length_c 11.811
_cell_angle_alpha 90.00
_cell_angle_beta 122.17
_cell_angle_gamma 90.00
_symmetry_space_group_name_H-M 'P 1 21/c 1'
_symmetry_Int_Tables_number 14
_symmetry_space_group_name_Hall '-P 2ybc'
loop_
_atom_site_label
_atom_site_type_symbol
_atom_site_fract_x
_atom_site_fract_y
_atom_site_fract_z
_atom_site_occupancy
Tb1 Tb 0.096 0.179 0.431 1
Tb2 Tb 0.253 0.678 0.429 1
Tb3 Tb 0.403 0.042 0.248 1
Ru1 Ru 0.500 0.000 0.500 1
Pt1 Pt 0.189 0.117 0.743 1
# - formation enthalpy at 0 K (eV per formula unit) = -6.13

# PBE LuScPdRu, relaxed
data_LuScPdRu
_cell_length_a 6.628
_cell_length_b 6.628
_cell_length_c 6.628
_cell_angle_alpha 90.00
_cell_angle_beta 90.00
_cell_angle_gamma 90.00
_symmetry_space_group_name_H-M 'F -4 3 m'
_symmetry_Int_Tables_number 216
_symmetry_space_group_name_Hall 'F -4 2 3'
loop_
_atom_site_label
_atom_site_type_symbol
_atom_site_fract_x
_atom_site_fract_y
_atom_site_fract_z
_atom_site_occupancy
Lu1 Lu 0.000 0.000 0.000 1
Sc1 Sc 0.000 0.000 0.500 1
Pd1 Pd 0.250 0.250 0.250 1
Ru1 Ru 0.250 0.250 0.750 1
# - formation enthalpy at 0 K (eV per formula unit) = -3.05

# PBE Sb2MoCl, relaxed
data_Sb2MoCl
_cell_length_a 3.437
_cell_length_b 3.361
_cell_length_c 8.052
_cell_angle_alpha 90.00
_cell_angle_beta 90.44
_cell_angle_gamma 90.00
_symmetry_space_group_name_H-M 'P 1 2/m 1'
_symmetry_Int_Tables_number 10
_symmetry_space_group_name_Hall '-P 2y'
loop_
_atom_site_label
_atom_site_type_symbol
_atom_site_fract_x
_atom_site_fract_y
_atom_site_fract_z
_atom_site_occupancy
Sb1 Sb 0.003 0.000 0.195 1
Mo1 Mo 0.500 0.500 0.000 1
Cl1 Cl 0.000 0.500 0.500 1
# - energy above the lowest structure with this stoichiometry (kJ/mol of formula units) = 3.4
# - formation energy without anion corrections (eV/f.u.) = 0.0

# PBE Ho7Tm3Th, relaxed
data_Ho7Tm3Th
_cell_length_a 6.9926
_cell_length_b 6.9926
_cell_length_c 8.5477
_cell_angle_alpha 90.00
_cell_angle_beta 90.00
_cell_angle_gamma 120.00
_symmetry_space_group_name_H-M 'P 3 m 1'
_symmetry_Int_Tables_number 156
_symmetry_space_group_name_Hall 'P 3 -2"'
loop_
_atom_site_label
_atom_site_type_symbol
_atom_site_fract_x
_atom_site_fract_y
_atom_site_fract_z
_atom_site_occupancy
Ho1 Ho 0.0000 0.0000 0.0000 1
Ho2 Ho 0.1654 0.3308 0.6645 1
Ho3 Ho 0.5030 0.0060 0.9943 1
Tm1 Tm 0.3355 0.1678 0.3318 1
Th1 Th 0.6667 0.3333 0.6637 1
# - energy above the lowest structure with this stoichiometry (kJ/mol of formula units) = 0.0
# - formation enthalpy at 0 K (eV per formula unit) = 2.12

# PBE RbSrAu10, relaxed
data_RbSrAu10
_cell_length_a 4.580
_cell_length_b 5.821
_cell_length_c 10.106
_cell_angle_alpha 90.00
_cell_angle_beta 90.00
_cell_angle_gamma 90.00
_symmetry_space_group_name_H-M 'P m m m'
_symmetry_Int_Tables_number 47
_symmetry_space_group_name_Hall '-P 2 2'
loop_
_atom_site_label
_atom_site_type_symbol
_atom_site_fract_x
_atom_site_fract_y
_atom_site_fract_z
_atom_site_occupancy
Rb1 Rb 0.000 0.000 0.000 1
Sr1 Sr 0.000 0.500 0.500 1
Au1 Au 0.000 0.000 0.337 1
Au2 Au 0.000 0.500 0.170 1
Au3 Au 0.500 0.000 0.500 1
Au4 Au 0.500 0.256 0.258 1
Au5 Au 0.500 0.500 0.000 1
# - formation enthalpy at 0 K (eV per formula unit) = -3.82

# PBE LaBeGe3, relaxed
data_LaBeGe3
_cell_length_a 15.158
_cell_length_b 4.360
_cell_length_c 6.817
_cell_angle_alpha 90.00
_cell_angle_beta 104.67
_cell_angle_gamma 90.00
_symmetry_space_group_name_H-M 'C 1 2/m 1'
_symmetry_Int_Tables_number 12
_symmetry_space_group_name_Hall '-C 2y'
loop_
_atom_site_label
_atom_site_type_symbol
_atom_site_fract_x
_atom_site_fract_y
_atom_site_fract_z
_atom_site_occupancy
La1 La 0.143 0.000 0.090 1
Be1 Be 0.145 0.500 0.419 1
Ge1 Ge 0.009 0.500 0.188 1
Ge2 Ge 0.145 0.500 0.760 1
Ge3 Ge 0.200 0.000 0.590 1
# - energy above the lowest structure with this stoichiometry (kJ/mol of formula units) = 17.3
# - formation enthalpy at 0 K (eV per formula unit) = -1.44

# PBE Sc8CdPd2, relaxed
data_Sc8CdPd2
_cell_length_a 8.099
_cell_length_b 12.918
_cell_length_c 5.018
_cell_angle_alpha 90.00
_cell_angle_beta 107.07
_cell_angle_gamma 90.00
_symmetry_space_group_name_H-M 'C 1 2/m 1'
_symmetry_Int_Tables_number 12
_symmetry_space_group_name_Hall '-C 2y'
loop_
_atom_site_label
_atom_site_type_symbol
_atom_site_fract_x
_atom_site_fract_y
_atom_site_fract_z
_atom_site_occupancy
Sc1 Sc 0.000 0.236 0.000 1
Sc2 Sc 0.108 0.500 0.806 1
Sc3 Sc 0.205 0.121 0.588 1
Cd1 Cd 0.000 0.000 0.000 1
Pd1 Pd 0.000 0.305 0.500 1
# - formation enthalpy at 0 K (eV per formula unit) = -3.08

Values of DFT total energy, in order: -8.11 -4.15 -6.68 -5.57 -2.70 -3.26 -5.12 -6.14 -7.09 -5.23 -4.61 -3.27 -4.79 -5.91, all in eV/atom.